## w
Here is a relaxed structure of NiSeSBr2 from the Alexandria database. Energies are from GGA-PBE.

Structure (POSCAR):
```
NiSeSBr2
1.0
4.9674 0.0000 0.0000
0.0000 4.9674 0.0000
0.0000 0.0000 5.1155
Ni Se S Br
1 1 1 2
direct
0.0000 0.0000 0.0000
0.5000 0.5000 0.0000
0.5000 0.5000 0.5000
0.0000 0.5000 0.5000
0.5000 0.0000 0.5000
```

Properties
Magnetization, μB per cell: 1.3
Space group: P4/mmm (123)
ρ, kg/m3: 4335

***

## x
Here is a relaxed structure of NiSeSBr2 from the Alexandria database. Energies are from GGA-PBE.

Structure (POSCAR):
```
NiSeSBr2
1.0
4.7630 0.0000 0.0000
0.0000 4.7630 0.0000
0.0000 0.0000 4.8351
Ni Se S Br
1 1 1 2
direct
0.0000 0.0000 0.0000
0.0000 0.0000 0.5000
0.5000 0.5000 0.5000
0.0000 0.5000 0.0000
0.5000 0.0000 0.0000
```

Properties
Magnetization, μB per cell: 0.0
Space group: P4/mmm (123)
ρ, kg/m3: 4989

***

Energy relative to the most stable one, in meV per atom: w 315; x 0

***

## w
Here is a relaxed structure of NiSbBr2 from the Alexandria database. Energies are from GGA-PBE.

Structure (POSCAR):
```
NiSbBr2
1.0
-2.5088 2.5088 3.5332
2.5088 -2.5088 3.5332
2.5088 2.5088 -3.5332
Ni Sb Br
1 1 2
direct
0.0000 0.0000 0.0000
0.2500 0.7500 0.5000
0.5000 0.5000 0.0000
0.7500 0.2500 0.5000
```

Properties
Magnetization, μB per cell: 0.3
Space group: I-4m2 (119)
ρ, kg/m3: 6352

***

## x
Here is a relaxed structure of NiSbBr2 from the Alexandria database. Energies are from GGA-PBE.

Structure (POSCAR):
```
NiSbBr2
1.0
-1.7280 2.4381 6.5880
1.7280 -2.4381 6.5880
1.7280 2.4381 -6.5880
Ni Sb Br
1 1 2
direct
0.0000 0.0000 0.0000
0.5000 0.5000 0.0000
0.1392 0.6392 0.5000
0.8608 0.3608 0.5000
```

Properties
Magnetization, μB per cell: 0.7
Space group: Immm (71)
ρ, kg/m3: 5089

***

Energy relative to the most stable one, in meV per atom: w 524; x 0

***

## w
Here is a relaxed structure of NiSbBr2 from the Alexandria database. Energies are from GGA-PBE.

Structure (POSCAR):
```
NiSbBr2
1.0
3.2453 0.0000 0.0000
0.0000 3.2453 0.0000
0.0000 0.0000 8.8862
Ni Sb Br
1 1 2
direct
0.0000 0.0000 0.0000
0.0000 0.0000 0.5000
0.5000 0.5000 0.1798
0.5000 0.5000 0.8202
```

Properties
Magnetization, μB per cell: 1.2
Space group: P4/mmm (123)
ρ, kg/m3: 6037

***

## x
Here is a relaxed structure of NiSbBr2 from the Alexandria database. Energies are from GGA-PBE.

Structure (POSCAR):
```
NiSbBr2
1.0
7.0817 -1.7067 0.0000
7.0817 1.7067 0.0000
-1.1552 0.0000 4.8303
Ni Sb Br
1 1 2
direct
0.0000 0.0000 0.0000
0.5000 0.5000 0.5000
0.3651 0.3651 0.8348
0.6349 0.6349 0.1652
```

Properties
Magnetization, μB per cell: 0.7
Space group: C2/m (12)
ρ, kg/m3: 4839

***

## y
Here is a relaxed structure of NiSbBr2 from the Alexandria database. Energies are from GGA-PBE.

Structure (POSCAR):
```
NiSbBr2
1.0
-5.0414 5.0414 2.4220
5.0414 -5.0414 2.4220
5.0414 5.0414 -2.4220
Ni Sb Br
2 2 4
direct
0.0000 0.0000 0.0000
0.7500 0.2500 0.5000
0.2500 0.7500 0.5000
0.5000 0.5000 0.0000
0.3750 0.1281 0.2531
0.8719 0.1250 0.2469
0.8750 0.1219 0.7469
0.8781 0.6250 0.7531
```

Properties
Magnetization, μB per cell: 0.0
Space group: I-42d (122)
ρ, kg/m3: 4589

***

Energy relative to the most stable one, in meV per atom: w 389; x 0; y 38

***

## w
Here is a relaxed structure of NiSb2Br from the Alexandria database. Energies are from GGA-PBE.

Structure (POSCAR):
```
NiSb2Br
1.0
3.2694 0.0000 0.0000
0.0000 3.2600 0.0000
-0.2566 0.0000 8.4260
Ni Sb Br
1 2 1
direct
0.0000 0.0000 0.0000
0.4746 0.5000 0.8108
0.5254 0.5000 0.1892
0.0000 0.0000 0.5000
```

Properties
Magnetization, μB per cell: 0.0
Space group: P2/m (10)
ρ, kg/m3: 7065

***

## x
Here is a relaxed structure of NiSb2Br from the Alexandria database. Energies are from GGA-PBE.

Structure (POSCAR):
```
NiSb2Br
1.0
-3.2255 3.2255 5.8448
3.2255 -3.2255 5.8448
3.2255 3.2255 -5.8448
Ni Sb Br
2 4 2
direct
0.0000 0.0000 0.0000
0.7500 0.2500 0.5000
0.0298 0.6250 0.9048
0.3750 0.2798 0.4048
0.7202 0.1250 0.0952
0.8750 0.9702 0.5952
0.2500 0.7500 0.5000
0.5000 0.5000 0.0000
```

Properties
Magnetization, μB per cell: 0.0
Space group: I-42d (122)
ρ, kg/m3: 5217

***

Energy relative to the most stable one, in meV per atom: w 0; x 111

***

## w
Here is a relaxed structure of NiSbSeBr2 from the Alexandria database. Energies are from GGA-PBE.

Structure (POSCAR):
```
NiSbSeBr2
1.0
5.5376 0.0000 0.0000
0.0000 5.5376 0.0000
0.0000 0.0000 5.4365
Ni Sb Se Br
1 1 1 2
direct
0.0000 0.0000 0.0000
0.5000 0.5000 0.5000
0.5000 0.5000 0.0000
0.0000 0.5000 0.5000
0.5000 0.0000 0.5000
```

Properties
Magnetization, μB per cell: 1.1
Space group: P4/mmm (123)
ρ, kg/m3: 4176

***

## x
Here is a relaxed structure of NiSbSeBr2 from the Alexandria database. Energies are from GGA-PBE.

Structure (POSCAR):
```
NiSbSeBr2
1.0
4.7849 0.0000 0.0000
0.0000 4.7849 0.0000
0.0000 0.0000 4.9820
Ni Sb Se Br
1 1 1 2
direct
0.0000 0.0000 0.0000
0.5000 0.5000 0.5000
0.0000 0.0000 0.5000
0.0000 0.5000 0.0000
0.5000 0.0000 0.0000
```

Properties
Magnetization, μB per cell: 0.0
Space group: P4/mmm (123)
ρ, kg/m3: 6103

***

Energy relative to the most stable one, in meV per atom: w 486; x 0

***

## w
Here is a relaxed structure of NiSbSe2Br from the Alexandria database. Energies are from GGA-PBE.

Structure (POSCAR):
```
NiSbSe2Br
1.0
5.3328 0.0000 0.0000
0.0000 5.3328 0.0000
0.0000 0.0000 5.4579
Ni Sb Se Br
1 1 2 1
direct
0.0000 0.0000 0.0000
0.5000 0.5000 0.5000
0.0000 0.5000 0.5000
0.5000 0.0000 0.5000
0.5000 0.5000 0.0000
```

Properties
Magnetization, μB per cell: 1.3
Space group: P4/mmm (123)
ρ, kg/m3: 4475

***

## x
Here is a relaxed structure of NiSbSe2Br from the Alexandria database. Energies are from GGA-PBE.

Structure (POSCAR):
```
NiSbSe2Br
1.0
4.7968 0.0000 0.0000
0.0000 4.7968 0.0000
0.0000 0.0000 4.7817
Ni Sb Se Br
1 1 2 1
direct
0.0000 0.0000 0.0000
0.5000 0.5000 0.5000
0.0000 0.5000 0.0000
0.5000 0.0000 0.0000
0.0000 0.0000 0.5000
```

Properties
Magnetization, μB per cell: 0.0
Space group: P4/mmm (123)
ρ, kg/m3: 6313

***

Energy relative to the most stable one, in meV per atom: w 615; x 0